[1]
# SrCdPt

A geometry-optimized SrCdPt structure (PBE, Alexandria via LeMat-Bulk).

Cell: 4.707 4.707 4.171 Å, 90.00 90.00 120.00°
Fractional coordinates of all 3 atoms:
1 Sr 0.000 0.000 0.000
2 Cd 0.667 0.333 0.500
3 Pt 0.333 0.667 0.500

As for the crystal system: hexagonal. The value obtained for the formation energy is -1.78 eV per formula unit.

***

[2]
# Cs2Tl2AgSe4

A geometry-optimized Cs2Tl2AgSe4 structure (PBE, Alexandria via LeMat-Bulk).

Cell: 9.088 9.088 8.127 Å, 106.05 106.05 29.26°
Fractional coordinates of all 9 atoms:
1 Cs 0.118 0.118 0.033
2 Cs 0.882 0.882 0.967
3 Tl 0.339 0.339 0.491
4 Tl 0.661 0.661 0.509
5 Ag 0.000 0.000 0.500
6 Se 0.221 0.221 0.697
7 Se 0.482 0.482 0.718
8 Se 0.518 0.518 0.282
9 Se 0.779 0.779 0.303

As for the crystal system: monoclinic. The energy relative to the elements, uncorrected is -0.510 eV/atom.

***

[3]
# Nb2CuNi

A geometry-optimized Nb2CuNi structure (PBE, Alexandria via LeMat-Bulk).

Cell: 5.599 5.599 5.599 Å, 102.16 102.16 125.35°
Fractional coordinates of all 8 atoms:
1 Nb 0.102 0.625 0.977
2 Nb 0.375 0.352 0.477
3 Nb 0.648 0.125 0.023
4 Nb 0.875 0.898 0.523
5 Cu 0.250 0.750 0.500
6 Cu 0.500 0.500 0.000
7 Ni 0.000 0.000 0.000
8 Ni 0.750 0.250 0.500

As for the crystal system: tetragonal. The value obtained for the formation energy is 1.38 eV per formula unit.

***

[4]
# Zn2SbPt

A geometry-optimized Zn2SbPt structure (PBE, Alexandria via LeMat-Bulk).

Cell: 4.172 4.172 4.044 Å, 90.00 90.00 90.00°
Fractional coordinates of all 4 atoms:
1 Zn 0.000 0.500 0.000
2 Zn 0.500 0.000 0.000
3 Sb 0.000 0.000 0.500
4 Pt 0.500 0.500 0.500

As for the crystal system: tetragonal. The energy relative to the elements, uncorrected is -0.068 eV/atom.

***

[5]
# SmSCl

A geometry-optimized SmSCl structure (PBE, Alexandria via LeMat-Bulk).

Cell: 5.356 4.357 7.145 Å, 90.00 108.71 90.00°
Fractional coordinates of all 6 atoms:
1 Sm 0.168 0.250 0.306
2 Sm 0.832 0.750 0.694
3 S 0.272 0.750 0.563
4 S 0.728 0.250 0.437
5 Cl 0.252 0.750 0.062
6 Cl 0.748 0.250 0.938

As for the crystal system: monoclinic. The energy relative to the elements, uncorrected is -2.183 eV/atom.

***

[6]
# Sn3Pb7

A geometry-optimized Sn3Pb7 structure (PBE, Alexandria via LeMat-Bulk).

Cell: 10.551 10.551 6.535 Å, 90.00 90.00 120.00°
Fractional coordinates of all 20 atoms:
1 Sn 0.202 0.404 0.000
2 Sn 0.202 0.798 0.000
3 Sn 0.404 0.202 0.500
4 Sn 0.596 0.798 0.000
5 Sn 0.798 0.202 0.500
6 Sn 0.798 0.596 0.500
7 Pb 0.057 0.529 0.330
8 Pb 0.112 0.224 0.559
9 Pb 0.112 0.888 0.559
10 Pb 0.224 0.112 0.059
11 Pb 0.333 0.667 0.678
12 Pb 0.471 0.529 0.330
13 Pb 0.471 0.943 0.330
14 Pb 0.529 0.057 0.830
15 Pb 0.529 0.471 0.830
16 Pb 0.667 0.333 0.178
17 Pb 0.776 0.888 0.559
18 Pb 0.888 0.112 0.059
19 Pb 0.888 0.776 0.059
20 Pb 0.943 0.471 0.830

The energy above the most stable polymorph in this dataset comes out at 28 meV/atom. As for the crystal system: hexagonal. The value obtained for the formation energy is 0.69 eV per formula unit.

***

[7]
# CdReSn3

A geometry-optimized CdReSn3 structure (PBE, Alexandria via LeMat-Bulk).

Cell: 5.393 5.393 5.393 Å, 90.00 90.00 90.00°
Fractional coordinates of all 5 atoms:
1 Cd 0.000 0.000 0.000
2 Re 0.500 0.500 0.500
3 Sn 0.000 0.000 0.500
4 Sn 0.000 0.500 0.000
5 Sn 0.500 0.000 0.000

The energy above the most stable polymorph in this dataset comes out at 1279 meV/atom. As for the crystal system: cubic. The value obtained for the formation energy is 8.07 eV per formula unit.

***

[8]
# LiTaTiTe2

A geometry-optimized LiTaTiTe2 structure (PBE, Alexandria via LeMat-Bulk).

Cell: 5.191 5.191 4.533 Å, 90.00 90.00 90.00°
Fractional coordinates of all 5 atoms:
1 Li 0.000 0.000 0.000
2 Ta 0.500 0.500 0.000
3 Ti 0.000 0.000 0.500
4 Te 0.000 0.500 0.500
5 Te 0.500 0.000 0.500

As for the crystal system: tetragonal. The energy relative to the elements, uncorrected is 0.895 eV/atom.

***

[9]
# TaCoPd

A geometry-optimized TaCoPd structure (PBE, Alexandria via LeMat-Bulk).

Cell: 4.891 4.891 4.891 Å, 120.74 104.59 103.71°
Fractional coordinates of all 6 atoms:
1 Ta 0.166 0.250 0.416
2 Ta 0.834 0.750 0.584
3 Co 0.321 0.321 0.000
4 Co 0.321 0.821 0.500
5 Pd 0.547 0.935 0.112
6 Pd 0.824 0.435 0.888

The energy above the most stable polymorph in this dataset comes out at 58 meV/atom. As for the crystal system: orthorhombic. The value obtained for the formation energy is -0.83 eV per formula unit.

***

[10]
# Ti5Mn4Au

A geometry-optimized Ti5Mn4Au structure (PBE, Alexandria via LeMat-Bulk).

Cell: 3.006 3.006 15.557 Å, 90.00 90.00 90.00°
Fractional coordinates of all 10 atoms:
1 Ti 0.000 0.000 0.000
2 Ti 0.000 0.000 0.191
3 Ti 0.000 0.000 0.375
4 Ti 0.000 0.000 0.625
5 Ti 0.000 0.000 0.809
6 Mn 0.500 0.500 0.096
7 Mn 0.500 0.500 0.290
8 Mn 0.500 0.500 0.710
9 Mn 0.500 0.500 0.904
10 Au 0.500 0.500 0.500

As for the crystal system: tetragonal. The value obtained for the formation energy is -3.00 eV per formula unit.

***

[11]
# Zr7Rh

A geometry-optimized Zr7Rh structure (PBE, Alexandria via LeMat-Bulk).

Cell: 6.267 6.267 6.267 Å, 60.00 60.00 60.00°
Fractional coordinates of all 8 atoms:
1 Zr 0.000 0.000 0.000
2 Zr 0.000 0.000 0.500
3 Zr 0.000 0.500 0.000
4 Zr 0.000 0.500 0.500
5 Zr 0.500 0.000 0.000
6 Zr 0.500 0.000 0.500
7 Zr 0.500 0.500 0.000
8 Rh 0.500 0.500 0.500

As for the crystal system: cubic. The value obtained for the formation energy is -0.19 eV per formula unit.

***

[12]
# MgPtCl6

A geometry-optimized MgPtCl6 structure (PBE, Alexandria via LeMat-Bulk).

Cell: 6.748 6.748 6.180 Å, 98.91 98.91 125.51°
Fractional coordinates of all 8 atoms:
1 Mg 0.000 0.000 0.000
2 Pt 0.500 0.500 0.500
3 Cl 0.125 0.398 0.261
4 Cl 0.268 0.268 0.732
5 Cl 0.398 0.125 0.261
6 Cl 0.602 0.875 0.739
7 Cl 0.732 0.732 0.268
8 Cl 0.875 0.602 0.739

As for the crystal system: monoclinic. The energy relative to the elements, uncorrected is -0.893 eV/atom.

***

Number 1: electronic total energy -3.47 eV per atom. Number 2: electronic total energy -3.09 eV per atom. Number 3: electronic total energy -7.16 eV per atom. Number 4: electronic total energy -3.25 eV per atom. Number 5: electronic total energy -5.75 eV per atom. Number 6: electronic total energy -3.73 eV per atom. Number 7: electronic total energy -3.46 eV per atom. Number 8: electronic total energy -4.69 eV per atom. Number 9: electronic total energy -8.33 eV per atom. Number 10: electronic total energy -8.24 eV per atom. Number 11: electronic total energy -8.42 eV per atom. Number 12: electronic total energy -3.23 eV per atom.